Entry 1:
# Pr2TmHg

Pr2TmHg after structural relaxation (PBE, Alexandria via LeMat-Bulk).

```
data_Pr2TmHg
_space_group_name_H-M_alt 'R 3 m'
_space_group_IT_number 160
_space_group_name_Hall 'R 3 -2"'
_cell_length_a 3.7103
_cell_length_b 3.7103
_cell_length_c 32.4192
_cell_angle_alpha 90.00
_cell_angle_beta 90.00
_cell_angle_gamma 120.00
loop_
_atom_site_label
_atom_site_type_symbol
_atom_site_fract_x
_atom_site_fract_y
_atom_site_fract_z
_atom_site_occupancy
Pr1 Pr 0.0000 0.0000 0.0000 1
Pr2 Pr 0.0000 0.0000 0.1762 1
Tm1 Tm 0.0000 0.0000 0.7551 1
Hg1 Hg 0.0000 0.0000 0.5880 1
```

Summary:
E above lowest polymorph = 0.41 eV per formula unit
mass density = 8.40 g/cm³
N(E_F) = 5.16 states/eV/f.u.

Entry 2:
# PrTmHg6

PrTmHg6 after structural relaxation (PBE, Alexandria via LeMat-Bulk).

```
data_PrTmHg6
_space_group_name_H-M_alt 'P 4/m m m'
_space_group_IT_number 123
_space_group_name_Hall '-P 4 2'
_cell_length_a 4.565
_cell_length_b 4.565
_cell_length_c 9.684
_cell_angle_alpha 90.00
_cell_angle_beta 90.00
_cell_angle_gamma 90.00
loop_
_atom_site_label
_atom_site_type_symbol
_atom_site_fract_x
_atom_site_fract_y
_atom_site_fract_z
_atom_site_occupancy
Pr1 Pr 0.000 0.000 0.000 1
Tm1 Tm 0.000 0.000 0.500 1
Hg1 Hg 0.000 0.500 0.258 1
Hg2 Hg 0.500 0.500 0.000 1
Hg3 Hg 0.500 0.500 0.500 1
```

Summary:
E above lowest polymorph = 0.23 eV per formula unit
mass density = 12.46 g/cm³
N(E_F) = 5.69 states/eV/f.u.

Entry 3:
# Pr2TmHg4

Pr2TmHg4 after structural relaxation (PBE, Alexandria via LeMat-Bulk).

```
data_Pr2TmHg4
_space_group_name_H-M_alt 'R -3 m'
_space_group_IT_number 166
_space_group_name_Hall '-R 3 2"'
_cell_length_a 5.0578
_cell_length_b 5.0578
_cell_length_c 28.2884
_cell_angle_alpha 90.00
_cell_angle_beta 90.00
_cell_angle_gamma 120.00
loop_
_atom_site_label
_atom_site_type_symbol
_atom_site_fract_x
_atom_site_fract_y
_atom_site_fract_z
_atom_site_occupancy
Pr1 Pr 0.0000 0.0000 0.2449 1
Tm1 Tm 0.0000 0.0000 0.0000 1
Hg1 Hg 0.0000 0.0000 0.1325 1
Hg2 Hg 0.0000 0.0000 0.3671 1
```

Summary:
E above lowest polymorph = 0.00 eV per formula unit
mass density = 9.96 g/cm³
N(E_F) = 5.91 states/eV/f.u.

Entry 4:
# Pr7TmHg4

Pr7TmHg4 after structural relaxation (PBE, Alexandria via LeMat-Bulk).

```
data_Pr7TmHg4
_space_group_name_H-M_alt 'C 1 2/m 1'
_space_group_IT_number 12
_cell_length_a 15.106
_cell_length_b 5.889
_cell_length_c 10.177
_cell_angle_alpha 90.00
_cell_angle_beta 123.23
_cell_angle_gamma 90.00
loop_
_space_group_symop_operation_xyz
'x,y,z'
'-x,-y,-z'
'-x,y,-z'
'x,-y,z'
'x+1/2,y+1/2,z'
'-x+1/2,-y+1/2,-z'
'-x+1/2,y+1/2,-z'
'x+1/2,-y+1/2,z'
loop_
_atom_site_label
_atom_site_type_symbol
_atom_site_fract_x
_atom_site_fract_y
_atom_site_fract_z
_atom_site_occupancy
Pr1 Pr 0.000 0.000 0.000 1
Pr2 Pr 0.062 0.500 0.397 1
Pr3 Pr 0.216 0.500 0.899 1
Pr4 Pr 0.232 0.000 0.685 1
Tm1 Tm 0.000 0.500 0.000 1
Hg1 Hg 0.046 0.000 0.728 1
Hg2 Hg 0.188 0.000 0.345 1
```

Summary:
mass density = 8.59 g/cm³
total energy = -3.40 eV/atom
N(E_F) = 13.76 states/eV/f.u.

no.,size of the total moment (μB/cell)
1,0.0
2,0.0
3,0.0
4,0.0